# LaErBe, optimized geometry, DFT GGA-PBE
# magnetic moment	0.00	μB/f.u.
# crystal system	cubic
# offset from the most stable computed form	76	kJ/mol of formula units
# mass density	6.531	g cm⁻³
data_LaErBe
_symmetry_space_group_name_H-M 'F -4 3 m'
_symmetry_Int_Tables_number 216
_symmetry_space_group_name_Hall 'F -4 2 3'
_cell_length_a 6.8436
_cell_length_b 6.8436
_cell_length_c 6.8436
_cell_angle_alpha 90.00
_cell_angle_beta 90.00
_cell_angle_gamma 90.00
loop_
_atom_site_label
_atom_site_type_symbol
_atom_site_fract_x
_atom_site_fract_y
_atom_site_fract_z
_atom_site_occupancy
La1 La 0.0000 0.0000 0.0000 1
Er1 Er 0.2500 0.2500 0.7500 1
Be1 Be 0.0000 0.0000 0.5000 1